A geometry-optimized NdAl4Co structure, computed with PBE.

Results
- Spin magnetization: 0.00 μB per formula unit
- Total energy: -4.991 eV/atom

Unit cell a=7.6701 b=4.0310 c=6.8772 alpha=90.00 beta=90.00 gamma=90.00
Closest atoms and distances in Å follow each position.
Space group Pmma (No. 51)
Symmetry-distinct sites (fractional):
Nd  0.2500  0.0000  0.1166  1 Co 2.97, 12 Al 3.10-3.27
Al  0.0000  0.0000  0.5000  2 Co 2.30
Al  0.0703  0.5000  0.8012  2 Co 2.57, 2 Al 2.73-2.76
Al  0.2500  0.5000  0.4585  2 Co 2.55, 6 Al 2.73-2.80
Co  0.2500  0.0000  0.6850  8 Al 2.30-2.57